The following is a DFT calculation (PBE) of a geometry-optimized TaTlS2 structure.

formation energy without anion corrections = -0.699 eV per atom
electronic total energy = -101.08 eV per cell
mass density = 7.209 Mg/m³
volume = 414 Å³/cell
total moment = 0.0 μB per cell

a = 8.8160 Å, b = 3.3318 Å, c = 14.0994 Å
α = 90.00°, β = 90.00°, γ = 90.00°
With the nearest neighbours (Å) after each atom.
Space group Pnma (No. 62)
Inequivalent atoms, fractional coordinates:
Ta: 0.0096 0.2500 0.0842 (multiplicity 4)  5 S 2.45-2.47
Tl: 0.0588 0.2500 0.6198 (multiplicity 4)  2 S 3.03-3.06, 2 Tl 3.33
S: 0.1156 0.7500 0.1949 (multiplicity 4)  2 Ta 2.47
S: 0.1896 0.2500 0.9514 (multiplicity 4)  3 Ta 2.45-2.47